DFT (PBE) results for a relaxed Sr2AlBiS5 crystal.

Computed properties:
Uncorrected formation energy = -1380 meV/atom
Symmetry = Cmc2_1, No. 36

Lattice parameters (Å, degrees): 3.987 9.134 12.654 90.00 90.00 102.61
Fractional coordinates of all 18 atoms:
Sr 0.875 0.750 0.832
Sr 0.112 0.224 0.682
Sr 0.125 0.250 0.332
Sr 0.888 0.776 0.182
Al 0.551 0.103 0.922
Al 0.449 0.897 0.422
Bi 0.796 0.592 0.536
Bi 0.204 0.408 0.036
S 0.351 0.702 0.010
S 0.675 0.349 0.873
S 0.493 0.986 0.767
S 0.287 0.573 0.688
S 0.972 0.944 0.515
S 0.649 0.298 0.510
S 0.325 0.651 0.373
S 0.507 0.014 0.267
S 0.713 0.427 0.188
S 0.028 0.056 0.015